Record 1
DFT (PBE-GGA) results for LiBe2Sb after structural relaxation.

SG	Pm
total magnetic moment	0.000	Bohr magnetons per cell
D(E_F)	1.228	states/eV/cell
crystal system	monoclinic
E_form (uncorrected)	1.101	eV per formula unit

a b c (Å): 3.1174 3.9338 5.2158
angles (deg): 90.00 90.65 90.00
Sites, in units of the cell vectors:
Li 0.0000 0.0000 0.0000
Be 0.4898 0.5000 0.7994
Be 0.4988 0.0000 0.6025
Sb 0.4984 0.5000 0.3067

---

Record 2
DFT (PBE-GGA) results for LiBe4Sb after structural relaxation.

SG	F-43m
total magnetic moment	0.000	Bohr magnetons per cell
D(E_F)	1.904	states/eV/cell
crystal system	cubic
E_form (uncorrected)	1.705	eV per formula unit

a b c (Å): 4.6947 4.6947 4.6947
angles (deg): 60.00 60.00 60.00
Sites, in units of the cell vectors:
Li 0.0000 0.0000 0.0000
Be 0.3719 0.3719 0.3719
Be 0.3719 0.3719 0.8844
Be 0.3719 0.8844 0.3719
Be 0.8844 0.3719 0.3719
Sb 0.7500 0.7500 0.7500

---

Record 3
DFT (PBE-GGA) results for LiTa2BeSb after structural relaxation.

SG	P4/mmm
total magnetic moment	0.000	Bohr magnetons per cell
D(E_F)	5.406	states/eV/cell
crystal system	tetragonal
E_form (uncorrected)	8.135	eV per formula unit

a b c (Å): 5.0824 5.0824 4.5084
angles (deg): 90.00 90.00 90.00
Sites, in units of the cell vectors:
Li 0.0000 0.0000 0.0000
Ta 0.0000 0.5000 0.5000
Ta 0.5000 0.0000 0.5000
Be 0.5000 0.5000 0.0000
Sb 0.0000 0.0000 0.5000

---

Record 4
DFT (PBE-GGA) results for LiBeSbTe2 after structural relaxation.

SG	P4/mmm
total magnetic moment	0.000	Bohr magnetons per cell
D(E_F)	3.499	states/eV/cell
crystal system	tetragonal
E_form (uncorrected)	3.636	eV per formula unit
energy above the most stable polymorph in this dataset	575.1	meV per atom

a b c (Å): 5.1834 5.1834 4.7531
angles (deg): 90.00 90.00 90.00
Sites, in units of the cell vectors:
Li 0.0000 0.0000 0.0000
Be 0.5000 0.5000 0.5000
Sb 0.0000 0.0000 0.5000
Te 0.0000 0.5000 0.0000
Te 0.5000 0.0000 0.0000

---

Record 5
DFT (PBE-GGA) results for LiBeSbTe2 after structural relaxation.

SG	P4/mmm
total magnetic moment	0.000	Bohr magnetons per cell
D(E_F)	2.476	states/eV/cell
crystal system	tetragonal
E_form (uncorrected)	0.761	eV per formula unit
energy above the most stable polymorph in this dataset	0.0	meV per atom

a b c (Å): 5.3493 5.3493 4.6428
angles (deg): 90.00 90.00 90.00
Sites, in units of the cell vectors:
Li 0.0000 0.0000 0.0000
Be 0.5000 0.5000 0.5000
Sb 0.5000 0.5000 0.0000
Te 0.0000 0.5000 0.5000
Te 0.5000 0.0000 0.5000

---

Record 6
DFT (PBE-GGA) results for LiBe2VSb after structural relaxation.

SG	P4/mmm
total magnetic moment	2.749	Bohr magnetons per cell
D(E_F)	2.346	states/eV/cell
crystal system	tetragonal
E_form (uncorrected)	5.632	eV per formula unit

a b c (Å): 4.4119 4.4119 4.5939
angles (deg): 90.00 90.00 90.00
Sites, in units of the cell vectors:
Li 0.0000 0.0000 0.0000
Be 0.0000 0.5000 0.5000
Be 0.5000 0.0000 0.5000
V 0.0000 0.0000 0.5000
Sb 0.5000 0.5000 0.0000

---

Record 7
DFT (PBE-GGA) results for Li2ScBe after structural relaxation.

SG	F-43m
total magnetic moment	0.807	Bohr magnetons per cell
D(E_F)	4.492	states/eV/cell
crystal system	cubic
DFT formation energy	230	meV per atom

a b c (Å): 4.5097 4.5097 4.5097
angles (deg): 60.00 60.00 60.00
Sites, in units of the cell vectors:
Li 0.0000 0.0000 0.0000
Li 0.2500 0.2500 0.2500
Sc 0.5000 0.5000 0.5000
Be 0.7500 0.7500 0.7500

---

Record 8
DFT (PBE-GGA) results for LiSc2Be after structural relaxation.

SG	I-4m2
total magnetic moment	0.000	Bohr magnetons per cell
D(E_F)	5.765	states/eV/cell
crystal system	tetragonal
DFT formation energy	280	meV per atom

a b c (Å): 5.3318 5.3318 5.3318
angles (deg): 135.72 135.72 64.42
Sites, in units of the cell vectors:
Li 0.0000 0.0000 0.0000
Sc 0.2500 0.7500 0.5000
Sc 0.5000 0.5000 0.0000
Be 0.7500 0.2500 0.5000